# 1
Crystalline TeAuN2F at its relaxed geometry, computed with PBE.

Geometry as extended XYZ:
```
5
Lattice="-1.931 -2.243 2.960 0.363 -3.434 -2.366 3.678 -0.831 1.770" Properties=species:S:1:pos:R:3 pbc="T T T"
N 0.181 -1.717 -1.183
N -0.966 -1.122 1.480
Te 1.055 -3.254 1.182
Au 0.000 0.000 0.000
F 1.839 -0.415 0.885
```

Computed properties:
formation energy (no corrections): 1.30 eV/atom
E above lowest polymorph: 1.34 eV per formula unit

***

# 2
Crystalline Sr2TaMn at its relaxed geometry, computed with PBE.

Geometry as extended XYZ:
```
4
Lattice="5.215 0.000 0.000 0.000 4.594 0.000 0.000 0.000 4.594" Properties=species:S:1:pos:R:3 pbc="T T T"
Mn 2.608 0.000 2.297
Sr 0.000 0.000 0.000
Sr 0.000 2.297 2.297
Ta 2.608 2.297 0.000
```

Computed properties:
E above lowest polymorph: 2.51 eV per formula unit
ΔH_f (0 K): 1.10 eV per atom

***

# 3
Crystalline Zr3As4 at its relaxed geometry, computed with PBE.

Geometry as extended XYZ:
```
7
Lattice="2.901 -5.025 0.000 2.901 5.025 0.000 0.000 0.000 4.840" Properties=species:S:1:pos:R:3 pbc="T T T"
Zr 1.451 2.512 0.000
Zr 2.901 0.000 0.000
Zr 1.451 -2.512 0.000
As 0.000 0.000 1.223
As 0.000 0.000 3.617
As 2.901 -1.675 2.420
As 2.901 1.675 2.420
```

Computed properties:
E above lowest polymorph: 3.17 eV per formula unit
ΔH_f (0 K): -0.38 eV per atom

***

# 4
Crystalline InHg2 at its relaxed geometry, computed with PBE.

Geometry as extended XYZ:
```
3
Lattice="6.874 -0.165 0.000 5.178 4.525 0.000 -6.026 -2.180 2.494" Properties=species:S:1:pos:R:3 pbc="T T T"
Hg 4.020 1.454 0.000
Hg 8.032 2.906 0.000
In 0.000 0.000 0.000
```

Computed properties:
ΔH_f (0 K): 0.01 eV per atom

***

Sequential Fermi-level density of states output: 3.25, 3.97, 3.15, 1.22 states/eV/cell